DyTmMgTl: optimized geometry, PBE.

The structure in POSCAR format:
```
DyTmMgTl
1.0
5.306 0.000 0.000
2.653 4.595 0.000
2.653 1.532 4.332
Tl Tm Mg Dy
1 1 1 1
Direct
0.000 0.000 0.000
0.750 0.750 0.750
0.500 0.500 0.500
0.250 0.250 0.250
```

- Raw total energy: -13.88 eV for the cell shown
- SG: F-43m (216)

Dy2YMgTl4: optimized geometry, PBE.

The structure in POSCAR format:
```
Dy2YMgTl4
1.0
5.257 0.000 0.000
2.628 4.552 0.000
2.628 1.517 8.906
Dy Y Mg Tl
2 1 1 4
Direct
0.756 0.756 0.732
0.244 0.244 0.268
0.000 0.000 0.000
0.500 0.500 0.500
0.376 0.376 0.872
0.876 0.876 0.373
0.124 0.124 0.627
0.624 0.624 0.128
```

- Raw total energy: -29.09 eV for the cell shown
- SG: R-3m (166)

Dy4MgTlZn2: optimized geometry, PBE.

The structure in POSCAR format:
```
Dy4MgTlZn2
1.0
5.180 0.000 0.000
2.590 4.486 0.000
2.590 1.495 8.622
Dy Mg Tl Zn
4 1 1 2
Direct
0.376 0.376 0.871
0.875 0.875 0.375
0.125 0.125 0.625
0.624 0.624 0.129
0.500 0.500 0.500
0.000 0.000 0.000
0.759 0.759 0.723
0.241 0.241 0.277
```

- Raw total energy: -27.02 eV for the cell shown
- SG: R-3m (166)

DyTm3Mg: optimized geometry, PBE.

The structure in POSCAR format:
```
DyTm3Mg
1.0
-1.598 -2.303 2.193
4.574 -4.437 1.563
4.185 6.829 10.216
Dy Tm Mg
2 6 2
Direct
0.237 0.527 0.770
0.763 0.473 0.230
0.152 0.696 0.431
0.367 0.267 0.020
0.032 0.935 0.187
0.848 0.304 0.569
0.968 0.065 0.813
0.633 0.733 0.980
0.566 0.869 0.620
0.434 0.131 0.380
```

- Excess energy over the best structure of this formula in the dataset: 0.0 meV per atom
- Raw total energy: -39.37 eV for the cell shown
- SG: C2/m (12)

Dy6Tm5Mg: optimized geometry, PBE.

The structure in POSCAR format:
```
Dy6Tm5Mg
1.0
0.106 3.655 -3.358
-7.365 -5.152 -2.173
-1.860 4.103 8.076
Mg Tm Dy
1 5 6
Direct
0.000 0.000 0.000
0.500 0.168 0.832
0.000 0.334 0.666
0.500 0.500 0.500
0.000 0.666 0.334
0.500 0.832 0.168
0.248 0.080 0.416
0.752 0.584 0.920
0.750 0.250 0.250
0.250 0.750 0.750
0.248 0.416 0.080
0.752 0.920 0.584
```

- Raw total energy: -51.28 eV for the cell shown
- SG: Immm (71)

Dy3Tm4Mg4: optimized geometry, PBE.

The structure in POSCAR format:
```
Dy3Tm4Mg4
1.0
-1.750 4.125 -3.014
0.989 -3.724 -5.671
-7.673 -3.204 4.910
Dy Tm Mg
3 4 4
Direct
0.108 0.108 0.217
0.892 0.892 0.783
0.000 0.500 0.000
0.314 0.073 0.627
0.686 0.446 0.373
0.686 0.927 0.373
0.314 0.554 0.627
0.170 0.670 0.340
0.830 0.330 0.660
0.500 0.781 0.000
0.500 0.219 0.000
```

- Raw total energy: -36.78 eV for the cell shown
- SG: Immm (71)

Dy2Tm4Mg5: optimized geometry, PBE.

The structure in POSCAR format:
```
Dy2Tm4Mg5
1.0
6.136 0.000 0.000
3.068 5.019 0.000
3.068 0.000 11.021
Dy Tm Mg
2 4 5
Direct
0.887 0.000 0.226
0.113 0.000 0.774
0.458 0.336 0.748
0.542 0.664 0.252
0.206 0.336 0.252
0.794 0.664 0.748
0.500 0.000 0.000
0.000 0.500 0.000
0.500 0.500 0.000
0.250 0.500 0.500
0.750 0.500 0.500
```

- Raw total energy: -32.40 eV for the cell shown
- SG: Fmmm (69)

DyTm4Mg7: optimized geometry, PBE.

The structure in POSCAR format:
```
DyTm4Mg7
1.0
-0.429 -1.175 -5.121
0.122 -3.859 3.589
-13.044 0.496 0.978
Dy Tm Mg
1 4 7
Direct
0.000 0.000 0.500
0.333 0.667 0.923
0.667 0.333 0.077
0.333 0.667 0.662
0.667 0.333 0.338
0.000 0.000 0.000
0.333 0.667 0.418
0.667 0.333 0.582
0.333 0.667 0.181
0.667 0.333 0.819
0.000 0.000 0.762
0.000 0.000 0.238
```

- Excess energy over the best structure of this formula in the dataset: 0.0 meV per atom
- Raw total energy: -33.77 eV for the cell shown
- SG: P-3m1 (164)

Dy9Tm2Mg: optimized geometry, PBE.

The structure in POSCAR format:
```
Dy9Tm2Mg
1.0
-1.992 -2.594 3.721
4.533 -0.977 1.745
-0.542 12.394 8.350
Dy Tm Mg
9 2 1
Direct
0.500 0.500 0.000
0.500 0.500 0.330
0.500 0.500 0.670
0.500 0.000 0.165
0.500 0.000 0.500
0.500 0.000 0.835
0.000 0.500 0.165
0.000 0.500 0.500
0.000 0.500 0.835
0.000 0.000 0.332
0.000 0.000 0.668
0.000 0.000 0.000
```

- Raw total energy: -51.71 eV for the cell shown
- SG: P4/mmm (123)

Dy6TmMg2: optimized geometry, PBE.

The structure in POSCAR format:
```
Dy6TmMg2
1.0
-3.468 0.891 -5.891
1.478 -3.894 -5.493
-5.739 -6.064 -1.572
Dy Tm Mg
6 1 2
Direct
0.773 0.302 0.675
0.250 0.773 0.675
0.302 0.250 0.675
0.081 0.566 0.324
0.029 0.081 0.324
0.566 0.029 0.324
0.335 0.335 0.995
0.757 0.757 0.730
0.573 0.573 0.282
```

- Raw total energy: -31.14 eV for the cell shown
- SG: R3 (146)

Dy5Tm6Mg2: optimized geometry, PBE.

The structure in POSCAR format:
```
Dy5Tm6Mg2
1.0
3.522 0.000 0.000
0.000 10.247 0.000
0.000 0.000 22.180
Dy Tm Mg
10 12 4
Direct
0.500 0.334 0.493
0.500 0.666 0.507
0.500 0.834 0.007
0.500 0.166 0.993
0.500 0.578 0.252
0.500 0.422 0.748
0.500 0.078 0.248
0.500 0.922 0.752
0.500 0.500 0.000
0.500 0.000 0.500
0.000 0.142 0.382
0.000 0.858 0.618
0.000 0.642 0.118
0.000 0.358 0.882
0.500 0.331 0.135
0.500 0.669 0.865
0.500 0.831 0.365
0.500 0.169 0.635
0.000 0.522 0.388
0.000 0.478 0.612
0.000 0.022 0.112
0.000 0.978 0.888
0.000 0.329 0.263
0.000 0.671 0.737
0.000 0.829 0.237
0.000 0.171 0.763
```

- Raw total energy: -102.27 eV for the cell shown
- SG: Pbam (55)

Dy2Tm2Mg: optimized geometry, PBE.

The structure in POSCAR format:
```
Dy2Tm2Mg
1.0
-1.693 -0.846 2.965
2.997 -6.380 -0.109
7.666 9.353 4.962
Dy Tm Mg
4 4 2
Direct
0.405 0.857 0.810
0.405 0.357 0.810
0.595 0.143 0.190
0.595 0.643 0.190
0.198 0.548 0.396
0.802 0.952 0.604
0.802 0.452 0.604
0.198 0.048 0.396
0.000 0.250 0.000
0.000 0.750 0.000
```

- Excess energy over the best structure of this formula in the dataset: 0.0 meV per atom
- Raw total energy: -39.60 eV for the cell shown
- SG: I4/mmm (139)

Dy3Tm2Mg7: optimized geometry, PBE.

The structure in POSCAR format:
```
Dy3Tm2Mg7
1.0
-4.324 -2.730 -0.286
0.407 -0.111 -5.101
6.630 -10.851 3.334
Dy Tm Mg
3 2 7
Direct
0.500 0.500 0.000
0.500 0.659 0.317
0.500 0.341 0.683
0.000 0.855 0.711
0.000 0.145 0.289
0.000 0.428 0.855
0.000 0.730 0.459
0.000 0.000 0.000
0.000 0.572 0.145
0.500 0.073 0.146
0.500 0.927 0.854
0.000 0.270 0.541
```

- Raw total energy: -32.43 eV for the cell shown
- SG: Cmmm (65)

Dy5Tm2Mg5: optimized geometry, PBE.

The structure in POSCAR format:
```
Dy5Tm2Mg5
1.0
-3.622 0.314 -3.876
-2.180 -2.601 5.470
5.104 14.654 -3.585
Dy Tm Mg
5 2 5
Direct
0.500 0.000 0.500
0.643 0.287 0.987
0.793 0.586 0.271
0.207 0.414 0.729
0.357 0.713 0.013
0.924 0.848 0.753
0.076 0.152 0.247
0.224 0.448 0.532
0.613 0.226 0.772
0.387 0.774 0.228
0.776 0.552 0.468
0.000 0.000 0.000
```

- Excess energy over the best structure of this formula in the dataset: 39.3 meV per atom
- Raw total energy: -39.86 eV for the cell shown
- SG: C2/m (12)

Dy3TmMg4: optimized geometry, PBE.

The structure in POSCAR format:
```
Dy3TmMg4
1.0
3.775 0.000 0.000
0.000 3.775 0.000
0.000 0.000 15.149
Mg Tm Dy
4 1 3
Direct
0.000 0.000 0.877
0.000 0.000 0.123
0.000 0.000 0.374
0.000 0.000 0.626
0.500 0.500 0.000
0.500 0.500 0.249
0.500 0.500 0.500
0.500 0.500 0.751
```

- Raw total energy: -25.26 eV for the cell shown
- SG: P4/mmm (123)

Dy14TmMg: optimized geometry, PBE.

The structure in POSCAR format:
```
Dy14TmMg
1.0
-2.497 -5.401 -3.764
5.157 -4.107 2.472
-5.789 -2.659 7.657
Dy Tm Mg
14 1 1
Direct
0.375 0.625 0.500
0.875 0.125 0.500
0.875 0.625 0.000
0.875 0.625 0.500
0.375 0.125 0.000
0.375 0.125 0.500
0.626 0.876 0.751
0.626 0.876 0.249
0.124 0.374 0.751
0.124 0.374 0.249
0.124 0.876 0.751
0.124 0.876 0.249
0.626 0.374 0.751
0.626 0.374 0.249
0.875 0.125 0.000
0.374 0.626 0.000
```

- Raw total energy: -70.18 eV for the cell shown
- SG: Amm2 (38)

DyTm4Mg5: optimized geometry, PBE.

The structure in POSCAR format:
```
DyTm4Mg5
1.0
-2.845 -1.056 2.225
2.095 -2.825 1.338
6.459 11.228 13.585
Dy Tm Mg
1 4 5
Direct
0.000 0.000 0.000
0.000 0.000 0.201
0.000 0.000 0.400
0.000 0.000 0.600
0.000 0.000 0.799
0.500 0.500 0.102
0.500 0.500 0.301
0.500 0.500 0.500
0.500 0.500 0.699
0.500 0.500 0.898
```

- Raw total energy: -31.08 eV for the cell shown
- SG: P4/mmm (123)

Dy6Tm3Mg: optimized geometry, PBE.

The structure in POSCAR format:
```
Dy6Tm3Mg
1.0
-4.770 0.472 -1.291
2.573 -2.509 -10.422
-1.669 -10.728 2.243
Dy Tm Mg
12 6 2
Direct
0.250 0.449 0.102
0.750 0.551 0.898
0.250 0.151 0.198
0.750 0.849 0.802
0.250 0.651 0.700
0.750 0.349 0.300
0.250 0.248 0.499
0.750 0.752 0.501
0.250 0.850 0.304
0.750 0.150 0.696
0.250 0.049 0.900
0.750 0.951 0.100
0.250 0.551 0.400
0.750 0.449 0.600
0.250 0.349 0.797
0.750 0.651 0.203
0.250 0.751 0.003
0.750 0.249 0.997
0.250 0.953 0.597
0.750 0.047 0.403
```

- Excess energy over the best structure of this formula in the dataset: 0.0 meV per atom
- Raw total energy: -84.85 eV for the cell shown
- SG: P2_1/m (11)

DyTm5Mg4: optimized geometry, PBE.

The structure in POSCAR format:
```
DyTm5Mg4
1.0
-1.786 3.095 0.371
-3.049 -1.645 -0.953
-3.864 -4.676 20.430
Dy Tm Mg
1 5 4
Direct
0.000 0.000 0.000
0.500 0.500 0.114
0.500 0.500 0.311
0.500 0.500 0.500
0.500 0.500 0.689
0.500 0.500 0.886
0.000 0.000 0.214
0.000 0.000 0.405
0.000 0.000 0.595
0.000 0.000 0.786
```

- Raw total energy: -33.69 eV for the cell shown
- SG: P4/mmm (123)

Dy3TmMg: optimized geometry, PBE.

The structure in POSCAR format:
```
Dy3TmMg
1.0
-2.888 -0.664 2.005
7.588 -5.966 -0.557
4.745 5.234 8.571
Dy Tm Mg
6 2 2
Direct
0.042 0.697 0.493
0.958 0.303 0.507
0.042 0.697 0.007
0.958 0.303 0.993
0.407 0.603 0.750
0.593 0.397 0.250
0.455 0.965 0.750
0.545 0.035 0.250
0.433 0.286 0.750
0.567 0.714 0.250
```

- Excess energy over the best structure of this formula in the dataset: 212.5 meV per atom
- Raw total energy: -37.78 eV for the cell shown
- SG: P2_1/m (11)

DyTm3Mg2: optimized geometry, PBE.

The structure in POSCAR format:
```
DyTm3Mg2
1.0
3.563 0.000 0.000
0.000 3.563 0.000
0.000 0.000 13.282
Dy Tm Mg
1 3 2
Direct
0.500 0.500 0.500
0.000 0.000 0.000
0.000 0.000 0.683
0.000 0.000 0.317
0.500 0.500 0.844
0.500 0.500 0.156
```

- Raw total energy: -21.39 eV for the cell shown
- SG: P4/mmm (123)

Looking at D(E_F) for the records above, in order, we have 0.855; 0.537; 0.897; 1.408; 1.488; 1.027; 1.249; 0.975; 1.413; 1.145; 1.809; 1.569; 1.009; 1.071; 1.312; 1.338; 1.380; 1.386; 1.365; 1.364; 1.199 states/eV/atom.
Looking at ΔE_f for the records above, in order, we have -0.21; -0.30; -0.26; -0.01; 0.02; 0.12; 0.24; -0.01; 0.02; 0.46; 0.15; -0.01; 0.12; 0.01; -0.08; 0.02; -0.06; 0.02; -0.03; 0.20; -0.03 eV per atom.